Record 1
Entry from Alexandria: a relaxed VZnCr crystal (PBE).

```
6
Lattice="-2.072 1.902 0.078 0.106 0.000 2.807 6.909 7.422 2.550" Properties=species:S:1:pos:R:3 pbc="T T T"
V 3.883 7.156 4.774
V 1.059 2.167 0.661
Zn 1.324 4.480 2.057
Zn 3.619 4.844 3.377
Cr -1.029 1.912 2.146
Cr 5.972 7.412 3.289
```

Values from the calculation:
Energy above the most stable polymorph in this dataset ... 0.000 eV/atom


Record 2
Entry from Alexandria: a relaxed PmNdZn2In2 crystal (PBE).

```
6
Lattice="4.735 0.000 0.000 -2.368 4.101 0.000 0.000 0.000 7.564" Properties=species:S:1:pos:R:3 pbc="T T T"
Pm 0.000 0.000 3.782
Nd 0.000 0.000 0.000
Zn 0.000 2.734 1.976
Zn 2.368 1.367 5.588
In 0.000 2.734 5.643
In 2.368 1.367 1.921
```

Values from the calculation:
E_tot ... -0.2481 Ry per atom


Record 3
Entry from Alexandria: a relaxed LuPuNi2 crystal (PBE).

```
4
Lattice="-2.673 1.863 0.307 -1.393 -1.587 -2.499 -2.667 -4.547 4.375" Properties=species:S:1:pos:R:3 pbc="T T T"
Ni -0.623 -1.063 1.023
Ni -2.044 -3.484 3.353
Lu -2.033 0.138 -1.096
Pu -3.367 -2.136 1.092
```

Values from the calculation:
Energy above the most stable polymorph in this dataset ... 0.000 eV/atom


Record 4
Entry from Alexandria: a relaxed GdPuPa crystal (PBE).

```
3
Lattice="-0.177 1.451 2.731 1.899 -4.452 2.487 3.459 3.798 -1.794" Properties=species:S:1:pos:R:3 pbc="T T T"
Gd -0.029 0.241 0.454
Pa 2.389 -1.459 1.517
Pu 2.821 2.015 1.454
```

Values from the calculation:
Energy above the most stable polymorph in this dataset ... 0.175 eV/atom


Record 5
Entry from Alexandria: a relaxed SiIrBr2 crystal (PBE).

```
4
Lattice="8.248 0.005 -0.004 6.729 4.770 0.004 -7.400 -2.666 2.484" Properties=species:S:1:pos:R:3 pbc="T T T"
Br 13.402 4.274 0.000
Br 9.063 2.890 0.000
Ir 4.168 -0.137 1.240
Si 3.409 2.246 1.244
```

Values from the calculation:
E_form (uncorrected) ... 248 meV/atom
Energy above the most stable polymorph in this dataset ... 0.421 eV/atom


Record 6
Entry from Alexandria: a relaxed SbOs2Ru2 crystal (PBE).

```
5
Lattice="-0.048 1.645 -3.200 0.063 -3.199 -1.646 -6.497 -0.918 -2.398" Properties=species:S:1:pos:R:3 pbc="T T T"
Sb 0.000 0.000 0.000
Os -1.345 -0.806 -2.418
Os -5.136 -1.665 -4.826
Ru -3.269 -0.025 -4.010
Ru -3.213 -2.447 -3.233
```

Values from the calculation:
E_form (uncorrected) ... 612 meV/atom
Energy above the most stable polymorph in this dataset ... 0.152 eV/atom


Number 1: N(E_F) 0.859 states/eV per atom, magnetization 0.000 μB per formula unit. Number 2: N(E_F) 0.605 states/eV per atom, magnetization 0.000 μB per formula unit. Number 3: N(E_F) 2.633 states/eV per atom, magnetization 5.671 μB per formula unit. Number 4: N(E_F) 3.385 states/eV per atom, magnetization 0.969 μB per formula unit. Number 5: N(E_F) 0.991 states/eV per atom, magnetization 0.002 μB per formula unit. Number 6: N(E_F) 1.075 states/eV per atom, magnetization 0.000 μB per formula unit.